DFT (PBE with a Hubbard U) results for Cd2NiF after structural relaxation.

Cell: 4.4805 4.4805 4.4805 Å, 60.00 60.00 60.00°
Closest atoms and distances in Å follow each position.
Sites, in units of the cell vectors:
1 Cd 0.2500 0.2500 0.2500  4 F 2.74, 4 Ni 2.74
2 Cd 0.7500 0.7500 0.7500  4 F 2.74, 4 Ni 2.74
3 F 0.0000 0.0000 0.0000  8 Cd 2.74
4 Ni 0.5000 0.5000 0.5000  8 Cd 2.74

Calculated values
E above lowest polymorph: 0.0953 eV per atom
Raw total energy: -6.55 eV/f.u.